Model w:
A relaxed structure of HoGaTc. Source: Alexandria, functional PBE.

Cell and atoms, written as CIF:
```
data_HoGaTc
_cell_length_a 5.331
_cell_length_b 5.566
_cell_length_c 7.497
_cell_angle_alpha 90.00
_cell_angle_beta 90.00
_cell_angle_gamma 90.00
_space_group_name_H-M_alt 'I m m a'
_space_group_IT_number 74
_space_group_name_Hall '-I 2b 2'
loop_
_atom_site_label
_atom_site_fract_x
_atom_site_fract_y
_atom_site_fract_z
Ho1 0.000 0.250 0.115
Ga1 0.000 0.000 0.500
Tc1 0.250 0.250 0.750
```

Model x:
A relaxed structure of HoGaTc. Source: Alexandria, functional PBE.

Cell and atoms, written as CIF:
```
data_HoGaTc
_cell_length_a 8.704
_cell_length_b 4.574
_cell_length_c 6.066
_cell_angle_alpha 90.00
_cell_angle_beta 104.32
_cell_angle_gamma 90.00
_space_group_name_H-M_alt 'C 1 2/m 1'
_space_group_IT_number 12
loop_
_space_group_symop_operation_xyz
'x,y,z'
'-x,-y,-z'
'-x,y,-z'
'x,-y,z'
'x+1/2,y+1/2,z'
'-x+1/2,-y+1/2,-z'
'-x+1/2,y+1/2,-z'
'x+1/2,-y+1/2,z'
loop_
_atom_site_label
_atom_site_fract_x
_atom_site_fract_y
_atom_site_fract_z
Ho1 0.188 0.000 0.146
Ga1 0.040 0.500 0.310
Tc1 0.139 0.000 0.598
```

Model y:
A relaxed structure of HoGaTc. Source: Alexandria, functional PBE.

Cell and atoms, written as CIF:
```
data_HoGaTc
_cell_length_a 3.441
_cell_length_b 3.441
_cell_length_c 9.591
_cell_angle_alpha 90.00
_cell_angle_beta 90.00
_cell_angle_gamma 90.00
_space_group_name_H-M_alt 'I 4 m m'
_space_group_IT_number 107
_space_group_name_Hall 'I 4 -2'
loop_
_atom_site_label
_atom_site_fract_x
_atom_site_fract_y
_atom_site_fract_z
Ho1 0.000 0.000 0.000
Ga1 0.000 0.000 0.702
Tc1 0.000 0.000 0.310
```

Model z:
A relaxed structure of HoGaTc. Source: Alexandria, functional PBE.

Cell and atoms, written as CIF:
```
data_HoGaTc
_cell_length_a 4.3490
_cell_length_b 4.3490
_cell_length_c 3.6615
_cell_angle_alpha 90.00
_cell_angle_beta 90.00
_cell_angle_gamma 120.00
_space_group_name_H-M_alt 'P -6 m 2'
_space_group_IT_number 187
_space_group_name_Hall 'P -6 2'
loop_
_atom_site_label
_atom_site_fract_x
_atom_site_fract_y
_atom_site_fract_z
Ho1 0.0000 0.0000 0.0000
Ga1 0.3333 0.6667 0.5000
Tc1 0.6667 0.3333 0.5000
```

Relative energies in kJ/mol of atoms: model w 0.0; model x 25.6; model y 19.2; model z 23.1